Record 1
{"formula": "AgHgMo2", "functional": "SCAN", "state": "single point on PBEsol structure", "formation_energy_mev_per_atom": 428, "volume_a3_per_atom": 16.8, "sg": "Pm", "cell": [[2.787, 0.000, 0.000], [0.000, 4.117, 0.000], [-0.403, 0.000, 5.855]], "species": ["Ag", "Hg", "Mo", "Mo"], "frac_coords": [[0.000, 0.000, 0.000], [0.540, 0.500, 0.249], [0.114, 0.000, 0.527], [0.454, 0.500, 0.736]]}



Record 2
{"formula": "Ba2Ag", "functional": "SCAN", "state": "single point on PBEsol structure", "formation_energy_mev_per_atom": -133, "volume_a3_per_atom": 39.6, "de_polymorph_mev_per_atom": 47, "sg": "P-62m", "cell": [[9.029, 0.000, 0.000], [-4.514, 7.819, 0.000], [0.000, 0.000, 5.050]], "species": ["Ba", "Ba", "Ba", "Ba", "Ba", "Ba", "Ag", "Ag", "Ag"], "frac_coords": [[0.000, 0.260, 0.000], [0.000, 0.595, 0.500], [0.260, 0.000, 0.000], [0.405, 0.405, 0.500], [0.595, 0.000, 0.500], [0.740, 0.740, 0.000], [0.000, 0.000, 0.500], [0.333, 0.667, 0.000], [0.667, 0.333, 0.000]]}



Record 3
{"formula": "MgMn3Si", "functional": "SCAN", "state": "single point on PBEsol structure", "raw_formation_energy_ev_per_atom": 0.20, "volume_a3_per_atom": 16.8, "de_polymorph_mev_per_atom": 0, "sg": "Pm-3m", "cell": [[4.384, 0.000, 0.000], [0.000, 4.384, 0.000], [0.000, 0.000, 4.384]], "species": ["Mg", "Mn", "Mn", "Mn", "Si"], "frac_coords": [[0.000, 0.000, 0.000], [0.000, 0.500, 0.500], [0.500, 0.000, 0.500], [0.500, 0.500, 0.000], [0.500, 0.500, 0.500]]}



Record 4
{"formula": "Cr4InAu", "functional": "SCAN", "state": "single point on PBEsol structure", "formation_energy_mev_per_atom": 394, "volume_a3_per_atom": 13.5, "sg": "F-43m", "cell": [[0.000, 3.437, 3.437], [3.437, 0.000, 3.437], [3.437, 3.437, 0.000]], "species": ["Cr", "Cr", "Cr", "Cr", "In", "Au"], "frac_coords": [[0.376, 0.376, 0.376], [0.376, 0.376, 0.871], [0.376, 0.871, 0.376], [0.871, 0.376, 0.376], [0.000, 0.000, 0.000], [0.750, 0.750, 0.750]]}



Record 5
{"formula": "V3MoH", "functional": "SCAN", "state": "single point on PBEsol structure", "total_energy_ev_per_atom": -18.048, "volume_a3_per_atom": 11.4, "sg": "Pm-3m", "cell": [[3.852, 0.000, 0.000], [0.000, 3.852, 0.000], [0.000, 0.000, 3.852]], "species": ["V", "V", "V", "Mo", "H"], "frac_coords": [[0.000, 0.000, 0.500], [0.000, 0.500, 0.000], [0.500, 0.000, 0.000], [0.500, 0.500, 0.500], [0.000, 0.000, 0.000]]}



Record 6
{"formula": "BaCdSe", "functional": "SCAN", "state": "single point on PBEsol structure", "raw_formation_energy_ev_per_atom": -0.98, "volume_a3_per_atom": 36.5, "sg": "F-43m", "cell": [[0.000, 3.797, 3.797], [3.797, 0.000, 3.797], [3.797, 3.797, 0.000]], "species": ["Ba", "Cd", "Se"], "frac_coords": [[0.000, 0.000, 0.000], [0.500, 0.500, 0.500], [0.250, 0.250, 0.250]]}



Record 7
{"formula": "MgAg2Au", "functional": "SCAN", "state": "single point on PBEsol structure", "formation_energy_mev_per_atom": -230, "volume_a3_per_atom": 17.1, "sg": "Pmmm", "cell": [[3.009, 0.000, 0.000], [0.000, 3.978, 0.000], [0.000, 0.000, 5.702]], "species": ["Mg", "Ag", "Ag", "Au"], "frac_coords": [[0.000, 0.000, 0.000], [0.500, 0.500, 0.249], [0.500, 0.500, 0.751], [0.000, 0.000, 0.500]]}



Record 8
{"formula": "Ir3Au", "functional": "SCAN", "state": "single point on PBEsol structure", "formation_energy_mev_per_atom": 501, "volume_a3_per_atom": 15.0, "sg": "P4/mmm", "cell": [[4.712, 0.000, 0.000], [0.000, 4.712, 0.000], [0.000, 0.000, 2.697]], "species": ["Ir", "Ir", "Ir", "Au"], "frac_coords": [[0.000, 0.000, 0.000], [0.000, 0.500, 0.500], [0.500, 0.000, 0.500], [0.500, 0.500, 0.000]]}



Record 9
{"formula": "K2ScCo", "functional": "SCAN", "state": "single point on PBEsol structure", "formation_energy_mev_per_atom": 1186, "volume_a3_per_atom": 30.3, "de_polymorph_mev_per_atom": 246, "sg": "Fm-3m", "cell": [[0.000, 3.929, 3.929], [3.929, 0.000, 3.929], [3.929, 3.929, 0.000]], "species": ["K", "K", "Sc", "Co"], "frac_coords": [[0.250, 0.250, 0.250], [0.750, 0.750, 0.750], [0.000, 0.000, 0.000], [0.500, 0.500, 0.500]]}



Record 10
{"formula": "CaTl2Ru", "functional": "SCAN", "state": "single point on PBEsol structure", "formation_energy_mev_per_atom": 223, "volume_a3_per_atom": 21.0, "sg": "I-4m2", "cell": [[-2.141, 2.141, 4.582], [2.141, -2.141, 4.582], [2.141, 2.141, -4.582]], "species": ["Ca", "Tl", "Tl", "Ru"], "frac_coords": [[0.000, 0.000, 0.000], [0.250, 0.750, 0.500], [0.500, 0.500, 0.000], [0.750, 0.250, 0.500]]}



Record 11
{"formula": "Na2SrLi2", "functional": "SCAN", "state": "single point on PBEsol structure", "formation_energy_mev_per_atom": 89, "volume_a3_per_atom": 33.6, "de_polymorph_mev_per_atom": 26, "sg": "I4/mmm", "cell": [[-2.667, 2.667, 5.896], [2.667, -2.667, 5.896], [2.667, 2.667, -5.896]], "species": ["Na", "Na", "Sr", "Li", "Li"], "frac_coords": [[0.130, 0.130, 0.000], [0.870, 0.870, 0.000], [0.500, 0.500, 0.000], [0.250, 0.750, 0.500], [0.750, 0.250, 0.500]]}



Record 12
{"formula": "CuOs2Cl", "functional": "SCAN", "state": "single point on PBEsol structure", "raw_formation_energy_ev_per_atom": 1.12, "volume_a3_per_atom": 14.0, "de_polymorph_mev_per_atom": 73, "sg": "Imm2", "cell": [[-1.379, 2.218, 4.573], [1.379, -2.218, 4.573], [1.379, 2.218, -4.573]], "species": ["Cu", "Os", "Os", "Cl"], "frac_coords": [[0.000, 0.000, 0.000], [0.502, 0.502, 0.000], [0.738, 0.238, 0.500], [0.271, 0.771, 0.500]]}